LaFeAs2P: relaxed, PBE-GGA.

The structure in POSCAR format:
```
LaFeAs2P
1.0
5.019 0.000 0.000
0.000 5.019 0.000
0.000 0.000 4.110
La Fe As P
1 1 2 1
direct
0.000 0.000 0.000
0.500 0.500 0.000
0.000 0.500 0.500
0.500 0.000 0.500
0.500 0.500 0.500
```

Output
- N(E_F) (states/eV/cell) = 2.80
- M_tot (μB per atom) = 0.00
- raw total energy (Ry/atom) = -0.4248
- V (Å³ per cell) = 104
- formation enthalpy at 0 K (eV per atom) = -0.160